No. 1
Below is a relaxed TaTl2Te crystal, with properties calculated at the PBE level.

```
4
Lattice="-0.2992 -0.2861 5.2678 -4.2712 1.8411 2.5076 -3.3819 -3.3624 2.2755" Properties=species:S:1:pos:R:3 pbc="T T T"
Ta -3.9762 -0.9038 5.0254
Te 0.0000 0.0000 0.0000
Tl -5.9642 -1.3556 7.5382
Tl -1.9881 -0.4519 2.5127
```

## Properties
E above lowest polymorph: 809 meV/atom
Formation energy from raw total energies: 0.954 eV/atom
DOS at the Fermi energy: 0.8265 states/eV/atom
V: 26.08 A^3/atom

No. 2
Below is a relaxed TaTlTe2 crystal, with properties calculated at the PBE level.

```
4
Lattice="-1.3484 3.2135 -0.7994 -1.3913 0.7559 5.3856 4.4026 2.0584 0.8484" Properties=species:S:1:pos:R:3 pbc="T T T"
Tl 1.5271 2.6359 0.0245
Ta 1.5057 1.4072 3.1170
Te -1.3698 1.9847 2.2931
Te 0.0000 0.0000 0.0000
```

## Properties
Formation energy from raw total energies: 0.672 eV/atom
DOS at the Fermi energy: 0.9672 states/eV/atom
V: 24.76 A^3/atom

No. 3
Below is a relaxed TaTl2Te crystal, with properties calculated at the PBE level.

```
4
Lattice="3.2748 0.0122 0.0000 -1.2345 3.0332 0.0000 0.0000 0.0000 10.9525" Properties=species:S:1:pos:R:3 pbc="T T T"
Tl 1.0201 1.5227 3.0950
Tl 0.0000 0.0000 0.2933
Te 1.0201 1.5227 7.5431
Ta 0.0000 0.0000 5.4975
```

## Properties
E above lowest polymorph: 112 meV/atom
Formation energy from raw total energies: 0.257 eV/atom
DOS at the Fermi energy: 0.6071 states/eV/atom
V: 27.24 A^3/atom

No. 4
Below is a relaxed TaTl4Te5 crystal, with properties calculated at the PBE level.

```
10
Lattice="6.8752 0.0000 0.0000 3.4376 7.1843 0.0000 3.4376 0.0000 7.1843" Properties=species:S:1:pos:R:3 pbc="T T T"
Ta 0.5975 0.0000 0.0000
Tl 3.3283 1.5799 2.8996
Tl 6.7659 2.8996 5.6044
Tl 6.7659 4.2847 1.5799
Tl 10.2035 5.6044 4.2847
Te 10.3404 2.4805 6.0968
Te 3.2382 0.0000 0.0000
Te 3.4651 4.7037 1.0875
Te 6.9027 1.0875 2.4805
Te 6.9027 6.0968 4.7037
```

## Properties
Formation energy from raw total energies: -0.258 eV/atom
DOS at the Fermi energy: 0.6135 states/eV/atom
V: 35.49 A^3/atom